(1)
## Pm2HoGa (PBE)

Data for a relaxed Pm2HoGa crystal.

Results
magnetization: 0.00 μB per formula unit
N(E_F): 7.4 states/eV per cell
symmetry: Fm-3m (225)
crystal system: cubic
theoretical density: 7.83 g/cm3
energy relative to the elements: -0.10 eV/atom

a = 5.3992 Å, b = 5.3992 Å, c = 5.3992 Å
α = 60.00°, β = 60.00°, γ = 60.00°
Positions (direct):
Pm 0.2500 0.2500 0.2500
Pm 0.7500 0.7500 0.7500
Ho 0.0000 0.0000 0.0000
Ga 0.5000 0.5000 0.5000

(2)
## Li2Pa5Se12 (PBE)

Data for a relaxed Li2Pa5Se12 crystal.

Results
magnetization: 3.10 μB per formula unit
N(E_F): 9.4 states/eV per cell
E_form (uncorrected): -23.8 eV/f.u.
symmetry: C2/m (12)
crystal system: monoclinic
theoretical density: 6.51 g/cm3

a = 8.2825 Å, b = 8.2825 Å, c = 10.2313 Å
α = 109.48°, β = 109.48°, γ = 56.18°
Positions (direct):
Li 0.1964 0.8036 0.0000
Li 0.8036 0.1964 0.0000
Pa 0.2103 0.2103 0.3512
Pa 0.2152 0.2152 0.9667
Pa 0.5000 0.5000 0.5000
Pa 0.7848 0.7848 0.0333
Pa 0.7897 0.7897 0.6488
Se 0.0170 0.0170 0.8054
Se 0.0851 0.5577 0.8637
Se 0.1207 0.6109 0.5079
Se 0.3836 0.3836 0.2171
Se 0.3891 0.8793 0.4921
Se 0.4423 0.9149 0.1363
Se 0.5577 0.0851 0.8637
Se 0.6109 0.1207 0.5079
Se 0.6164 0.6164 0.7829
Se 0.8793 0.3891 0.4921
Se 0.9149 0.4423 0.1363
Se 0.9830 0.9830 0.1946

(3)
## Sm2DyPaSb5 (PBE)

Data for a relaxed Sm2DyPaSb5 crystal.

Results
magnetization: 0.00 μB per formula unit
N(E_F): 6.0 states/eV per cell
E_form (uncorrected): -1.3 eV/f.u.
symmetry: P4/mmm (123)
crystal system: tetragonal
theoretical density: 6.23 g/cm3

a = 5.4686 Å, b = 5.4686 Å, c = 11.6175 Å
α = 90.00°, β = 90.00°, γ = 90.00°
Positions (direct):
Sm 0.0000 0.0000 0.2267
Sm 0.0000 0.0000 0.7733
Dy 0.5000 0.5000 0.5000
Pa 0.5000 0.5000 0.0000
Sb 0.0000 0.0000 0.5000
Sb 0.0000 0.5000 0.0000
Sb 0.5000 0.0000 0.0000
Sb 0.5000 0.5000 0.2537
Sb 0.5000 0.5000 0.7463

(4)
## Nd6Tl2Pt (PBE)

Data for a relaxed Nd6Tl2Pt crystal.

Results
magnetization: 0.00 μB per formula unit
N(E_F): 12.2 states/eV per cell
symmetry: P-62m (189)
crystal system: hexagonal
theoretical density: 8.87 g/cm3
energy relative to the elements: -0.45 eV/atom

a = 8.9743 Å, b = 8.9743 Å, c = 3.9439 Å
α = 90.00°, β = 90.00°, γ = 120.00°
Positions (direct):
Nd 0.0000 0.3987 0.0000
Nd 0.0000 0.7547 0.5000
Nd 0.2453 0.2453 0.5000
Nd 0.3987 0.0000 0.0000
Nd 0.6013 0.6013 0.0000
Nd 0.7547 0.0000 0.5000
Tl 0.3333 0.6667 0.5000
Tl 0.6667 0.3333 0.5000
Pt 0.0000 0.0000 0.0000

(5)
## TaAuS (PBE)

Data for a relaxed TaAuS crystal.

Results
magnetization: 0.00 μB per formula unit
N(E_F): 1.4 states/eV per cell
E_form (uncorrected): -0.6 eV/f.u.
symmetry: C2/m (12)
crystal system: monoclinic
theoretical density: 10.82 g/cm3

a = 3.9706 Å, b = 3.9706 Å, c = 9.2214 Å
α = 100.73°, β = 100.73°, γ = 62.50°
Positions (direct):
Ta 0.1976 0.1976 0.0998
Ta 0.8024 0.8024 0.9002
Au 0.3041 0.3041 0.4152
Au 0.6959 0.6959 0.5848
S 0.1211 0.1211 0.8224
S 0.8789 0.8789 0.1776

(6)
## VCr2Ga2 (PBE)

Data for a relaxed VCr2Ga2 crystal.

Results
magnetization: 1.55 μB per formula unit
N(E_F): 4.8 states/eV per cell
symmetry: P4/mbm (127)
crystal system: tetragonal
theoretical density: 6.94 g/cm3
energy relative to the elements: 0.09 eV/atom

a = 6.7289 Å, b = 6.7289 Å, c = 3.1091 Å
α = 90.00°, β = 90.00°, γ = 90.00°
Positions (direct):
V 0.0000 0.0000 0.0000
V 0.5000 0.5000 0.0000
Cr 0.1691 0.3309 0.5000
Cr 0.3309 0.8309 0.5000
Cr 0.6691 0.1691 0.5000
Cr 0.8309 0.6691 0.5000
Ga 0.1319 0.6319 0.0000
Ga 0.3681 0.1319 0.0000
Ga 0.6319 0.8681 0.0000
Ga 0.8681 0.3681 0.0000

(7)
## BaRe2Br (PBE)

Data for a relaxed BaRe2Br crystal.

Results
magnetization: 0.00 μB per formula unit
N(E_F): 3.1 states/eV per cell
E_form (uncorrected): 2.6 eV/f.u.
symmetry: P2/m (10)
crystal system: monoclinic
theoretical density: 8.12 g/cm3

a = 3.5737 Å, b = 6.4636 Å, c = 5.2182 Å
α = 90.00°, β = 90.35°, γ = 90.00°
Positions (direct):
Ba 0.0000 0.0000 0.0000
Re 0.2502 0.5000 0.1436
Re 0.7498 0.5000 0.8564
Br 0.5000 0.0000 0.5000

(8)
## In3TcI (PBE)

Data for a relaxed In3TcI crystal.

Results
magnetization: 0.72 μB per formula unit
N(E_F): 6.4 states/eV per cell
E_form (uncorrected): 1.2 eV/f.u.
symmetry: Pm-3m (221)
crystal system: cubic
theoretical density: 6.18 g/cm3

a = 5.3481 Å, b = 5.3481 Å, c = 5.3481 Å
α = 90.00°, β = 90.00°, γ = 90.00°
Positions (direct):
In 0.0000 0.0000 0.5000
In 0.0000 0.5000 0.0000
In 0.5000 0.0000 0.0000
Tc 0.0000 0.0000 0.0000
I 0.5000 0.5000 0.5000

(9)
## In6Ga2Hg (PBE)

Data for a relaxed In6Ga2Hg crystal.

Results
magnetization: 0.00 μB per formula unit
N(E_F): 3.2 states/eV per cell
symmetry: C2/m (12)
crystal system: monoclinic
theoretical density: 7.50 g/cm3
energy relative to the elements: 0.04 eV/atom

a = 8.6925 Å, b = 8.6925 Å, c = 5.4826 Å
α = 97.12°, β = 97.12°, γ = 143.25°
Positions (direct):
In 0.0014 0.3365 0.3257
In 0.1792 0.1792 0.8381
In 0.3365 0.0014 0.3257
In 0.6635 0.9986 0.6743
In 0.8208 0.8208 0.1619
In 0.9986 0.6635 0.6743
Ga 0.3338 0.6662 0.0000
Ga 0.6662 0.3338 0.0000
Hg 0.5000 0.5000 0.5000

What is the formula in the sixth record?
VCr2Ga2

Repeat the second record exactly.
## Li2Pa5Se12 (PBE)

Data for a relaxed Li2Pa5Se12 crystal.

Results
magnetization: 3.10 μB per formula unit
N(E_F): 9.4 states/eV per cell
E_form (uncorrected): -23.8 eV/f.u.
symmetry: C2/m (12)
crystal system: monoclinic
theoretical density: 6.51 g/cm3

a = 8.2825 Å, b = 8.2825 Å, c = 10.2313 Å
α = 109.48°, β = 109.48°, γ = 56.18°
Positions (direct):
Li 0.1964 0.8036 0.0000
Li 0.8036 0.1964 0.0000
Pa 0.2103 0.2103 0.3512
Pa 0.2152 0.2152 0.9667
Pa 0.5000 0.5000 0.5000
Pa 0.7848 0.7848 0.0333
Pa 0.7897 0.7897 0.6488
Se 0.0170 0.0170 0.8054
Se 0.0851 0.5577 0.8637
Se 0.1207 0.6109 0.5079
Se 0.3836 0.3836 0.2171
Se 0.3891 0.8793 0.4921
Se 0.4423 0.9149 0.1363
Se 0.5577 0.0851 0.8637
Se 0.6109 0.1207 0.5079
Se 0.6164 0.6164 0.7829
Se 0.8793 0.3891 0.4921
Se 0.9149 0.4423 0.1363
Se 0.9830 0.9830 0.1946

The lowest theoretical density belongs to which entry?
In3TcI